Record 1
10
Lattice="3.662 2.114 6.901 -3.662 2.114 6.901 0.000 -4.229 6.901" Properties=species:S:1:pos:R:3 comment="RbAc2SbS6 | Alexandria via LeMat-Bulk | PBE | optimized geometry" vol_a3_per_cell=321 energy_ev_per_atom=-5.03 formation_energy_uncorrected_ev_per_atom=-1.2196 pbc="T T T"
Rb 0.000 0.000 0.000
Ac 0.000 0.000 5.387
Ac 0.000 0.000 16.348
Sb 0.000 0.000 12.559
S -1.246 -1.748 11.118
S -1.922 0.589 14.135
S -0.891 1.953 11.118
S 0.451 -1.959 14.135
S 2.136 -0.205 11.118
S 1.471 1.370 14.135


Record 2
8
Lattice="-2.410 2.410 4.881 2.410 -2.410 4.881 2.410 2.410 -4.881" Properties=species:S:1:pos:R:3 comment="H2PtPb | Alexandria via LeMat-Bulk | PBE | optimized geometry" polymorph_energy_mev_per_atom=0 vol_a3_per_cell=113 energy_ev_per_atom=-4.06 pbc="T T T"
H 0.247 1.205 1.220
H -1.205 2.163 3.661
H -0.247 3.615 1.220
H 1.205 2.657 3.661
Pt 0.000 0.000 0.000
Pt 0.000 2.410 2.441
Pb 2.410 0.000 2.441
Pb 0.000 0.000 4.881


Record 3
5
Lattice="5.003 0.000 0.000 0.000 5.003 0.000 0.000 0.000 5.003" Properties=species:S:1:pos:R:3 comment="V3SnSb | Alexandria via LeMat-Bulk | PBE | optimized geometry" polymorph_energy_mev_per_atom=0 vol_a3_per_cell=125 energy_ev_per_atom=-6.00 formation_energy_uncorrected_ev_per_atom=1.1011 pbc="T T T"
V 0.000 0.000 2.501
V 0.000 2.501 0.000
V 2.501 0.000 0.000
Sn 2.501 2.501 2.501
Sb 0.000 0.000 0.000


Record 4
12
Lattice="3.210 1.854 10.777 -3.210 1.854 10.777 0.000 -3.707 10.777" Properties=species:S:1:pos:R:3 comment="Y3Ho7Sc2 | Alexandria via LeMat-Bulk | PBE | optimized geometry" polymorph_energy_mev_per_atom=178 vol_a3_per_cell=385 energy_ev_per_atom=-5.06 delta_e_f_kj_per_mol_atoms=27.0 pbc="T T T"
Y 0.000 0.000 0.000
Y 0.000 0.000 4.881
Y 0.000 0.000 27.449
Ho -1.618 -0.934 13.445
Ho 0.000 -1.868 18.885
Ho -1.618 0.934 18.885
Ho 0.000 0.000 16.165
Ho 1.618 -0.934 13.445
Ho 0.000 1.868 13.445
Ho 1.618 0.934 18.885
Sc 0.000 0.000 10.776
Sc 0.000 0.000 21.554


Record 5
5
Lattice="5.817 0.000 0.000 0.000 5.817 0.000 0.000 0.000 5.817" Properties=species:S:1:pos:R:3 comment="Na3TaCr | Alexandria via LeMat-Bulk | PBE | optimized geometry" polymorph_energy_mev_per_atom=865 vol_a3_per_cell=197 energy_ev_per_atom=-2.43 delta_e_f_kj_per_mol_atoms=256.6 pbc="T T T"
Na 0.000 0.000 2.909
Na 0.000 2.909 0.000
Na 2.909 0.000 0.000
Ta 0.000 0.000 0.000
Cr 2.909 2.909 2.909


Record 6
5
Lattice="4.613 0.000 0.000 0.000 4.613 0.000 0.000 0.000 4.613" Properties=species:S:1:pos:R:3 comment="V3AgW | Alexandria via LeMat-Bulk | PBE | optimized geometry" polymorph_energy_mev_per_atom=0 vol_a3_per_cell=98 energy_ev_per_atom=-7.24 delta_e_f_kj_per_mol_atoms=134.5 pbc="T T T"
V 0.000 0.000 2.307
V 0.000 2.307 0.000
V 2.307 0.000 0.000
Ag 2.307 2.307 2.307
W 0.000 0.000 0.000


Record 7
12
Lattice="2.639 1.524 8.458 -2.639 1.524 8.458 0.000 -3.047 8.458" Properties=species:S:1:pos:R:3 comment="Ho3Ni2Ir7 | Alexandria via LeMat-Bulk | PBE | optimized geometry" vol_a3_per_cell=204 energy_ev_per_atom=-7.91 delta_e_f_kj_per_mol_atoms=-60.9 pbc="T T T"
Ho 0.000 0.000 0.000
Ho 0.000 0.000 3.558
Ho 0.000 0.000 21.816
Ni 0.000 0.000 8.460
Ni 0.000 0.000 16.913
Ir -1.328 -0.767 10.490
Ir 0.000 -1.534 14.884
Ir -1.328 0.767 14.884
Ir 0.000 0.000 12.687
Ir 1.328 -0.767 10.490
Ir 0.000 1.534 10.490
Ir 1.328 0.767 14.884


Record 8
5
Lattice="3.645 0.000 0.000 0.000 3.645 0.000 0.000 0.000 6.917" Properties=species:S:1:pos:R:3 comment="RhSBrN2 | Alexandria via LeMat-Bulk | PBE | optimized geometry" polymorph_energy_mev_per_atom=1085 vol_a3_per_cell=92 energy_ev_per_atom=-3.68 formation_energy_uncorrected_ev_per_atom=2.2758 pbc="T T T"
Rh 0.000 0.000 0.000
S 1.822 1.822 0.000
Br 1.822 1.822 3.459
N 0.000 1.822 3.459
N 1.822 0.000 3.459


Record 9
8
Lattice="-3.395 3.395 2.678 3.395 -3.395 2.678 3.395 3.395 -2.678" Properties=species:S:1:pos:R:3 comment="FeMoRu2 | Alexandria via LeMat-Bulk | PBE | optimized geometry" polymorph_energy_mev_per_atom=669 vol_a3_per_cell=123 energy_ev_per_atom=-8.75 delta_e_f_kj_per_mol_atoms=68.3 pbc="T T T"
Fe 0.000 0.000 0.000
Fe 0.000 3.395 1.339
Mo 3.395 0.000 1.339
Mo 0.000 0.000 2.678
Ru 1.697 -1.655 2.008
Ru 1.739 1.697 0.669
Ru 1.697 5.050 -0.669
Ru 1.655 1.697 3.347


Record 10
4
Lattice="2.781 -3.956 0.000 2.781 3.956 0.000 0.000 0.000 2.737" Properties=species:S:1:pos:R:3 comment="Tc2MoPt | Alexandria via LeMat-Bulk | PBE | optimized geometry" polymorph_energy_mev_per_atom=137 vol_a3_per_cell=60 energy_ev_per_atom=-9.43 delta_e_f_kj_per_mol_atoms=-3.0 pbc="T T T"
Tc 1.391 1.978 0.000
Tc 1.391 -1.978 0.000
Mo 0.000 0.000 1.368
Pt 2.781 0.000 1.368


Record 11
20
Lattice="9.393 0.000 0.000 0.000 9.393 0.000 0.000 0.000 3.320" Properties=species:S:1:pos:R:3 comment="Dy2MnFe2Co5 | Alexandria via LeMat-Bulk | PBE | optimized geometry" vol_a3_per_cell=293 energy_ev_per_atom=-7.05 delta_e_f_kj_per_mol_atoms=3.1 pbc="T T T"
Dy 1.672 3.025 0.000
Dy 3.025 7.721 0.000
Dy 6.369 1.672 0.000
Dy 7.721 6.369 0.000
Mn 0.000 0.000 0.000
Mn 4.697 4.697 0.000
Fe 1.144 5.841 0.000
Fe 3.552 1.144 0.000
Fe 5.841 8.249 0.000
Fe 8.249 3.552 0.000
Co 0.000 4.697 1.660
Co 0.563 7.477 1.660
Co 1.916 0.563 1.660
Co 2.780 5.260 1.660
Co 4.133 2.780 1.660
Co 4.697 0.000 1.660
Co 5.260 6.613 1.660
Co 6.613 4.133 1.660
Co 7.477 8.830 1.660
Co 8.830 1.916 1.660


Record 12
11
Lattice="9.154 -2.603 0.000 9.154 2.603 0.000 -0.260 0.000 6.819" Properties=species:S:1:pos:R:3 comment="Er8BiPb2 | Alexandria via LeMat-Bulk | PBE | optimized geometry" vol_a3_per_cell=325 energy_ev_per_atom=-4.66 delta_e_f_kj_per_mol_atoms=-30.1 pbc="T T T"
Er 0.557 0.000 1.657
Er 3.885 0.000 0.791
Er 5.964 0.000 4.026
Er 7.449 0.000 0.438
Er 10.598 0.000 6.381
Er 12.083 0.000 2.793
Er 14.162 0.000 6.027
Er 17.490 0.000 5.162
Bi 9.023 0.000 3.409
Pb 2.801 0.000 4.577
Pb 15.246 0.000 2.242


Record 13
4
Lattice="0.000 3.325 3.325 3.325 0.000 3.325 3.325 3.325 0.000" Properties=species:S:1:pos:R:3 comment="HoGaCuAu | Alexandria via LeMat-Bulk | PBE | optimized geometry" vol_a3_per_cell=74 energy_ev_per_atom=-4.23 delta_e_f_kj_per_mol_atoms=-47.0 pbc="T T T"
Ho 0.000 0.000 0.000
Ga 3.325 3.325 3.325
Cu 4.987 4.987 4.987
Au 1.662 1.662 1.662


Record 14
12
Lattice="2.652 1.531 8.689 -2.652 1.531 8.689 0.000 -3.062 8.689" Properties=species:S:1:pos:R:3 comment="NdDy2Ru9 | Alexandria via LeMat-Bulk | PBE | optimized geometry" vol_a3_per_cell=212 energy_ev_per_atom=-8.23 delta_e_f_kj_per_mol_atoms=-10.6 pbc="T T T"
Nd 0.000 0.000 0.000
Dy 0.000 0.000 3.643
Dy 0.000 0.000 22.425
Ru -1.371 -0.792 10.861
Ru 0.000 0.000 8.823
Ru 0.000 -1.583 15.207
Ru -1.371 0.792 15.207
Ru 0.000 0.000 13.034
Ru 1.371 -0.792 10.861
Ru 0.000 1.583 10.861
Ru 0.000 0.000 17.245
Ru 1.371 0.792 15.207


Record 15
22
Lattice="4.493 0.000 0.000 0.000 14.054 0.000 0.000 0.000 8.794" Properties=species:S:1:pos:R:3 comment="Yb4Cu2Sn5 | Alexandria via LeMat-Bulk | PBE | optimized geometry" vol_a3_per_cell=555 energy_ev_per_atom=-3.66 delta_e_f_kj_per_mol_atoms=-52.5 pbc="T T T"
Yb 1.123 0.099 1.828
Yb 1.123 6.928 1.828
Yb 1.123 10.541 2.619
Yb 1.123 10.541 7.611
Yb 3.370 3.514 1.183
Yb 3.370 3.514 6.175
Yb 3.370 7.127 6.966
Yb 3.370 13.955 6.966
Cu 1.123 1.475 5.439
Cu 1.123 5.552 5.439
Cu 3.370 8.502 3.355
Cu 3.370 12.579 3.355
Sn 1.123 2.026 8.061
Sn 1.123 3.514 3.547
Sn 1.123 5.001 8.061
Sn 1.123 8.264 4.912
Sn 1.123 12.817 4.912
Sn 3.370 1.237 3.882
Sn 3.370 5.790 3.882
Sn 3.370 9.053 0.733
Sn 3.370 10.541 5.247
Sn 3.370 12.028 0.733


Record 16
6
Lattice="1.431 -8.372 0.000 1.431 8.372 0.000 0.000 0.000 4.468" Properties=species:S:1:pos:R:3 comment="TiTlV | Alexandria via LeMat-Bulk | PBE | optimized geometry" vol_a3_per_cell=107 energy_ev_per_atom=-6.02 delta_e_f_kj_per_mol_atoms=42.6 pbc="T T T"
Ti 1.431 7.625 3.351
Ti 1.431 -7.625 1.117
Tl 1.431 2.072 3.351
Tl 1.431 -2.072 1.117
V 1.431 4.882 3.351
V 1.431 -4.882 1.117


Record 17
5
Lattice="5.949 0.000 0.000 0.000 5.949 0.000 0.000 0.000 5.949" Properties=species:S:1:pos:R:3 comment="SrLaMg3 | Alexandria via LeMat-Bulk | PBE | optimized geometry" polymorph_energy_mev_per_atom=0 vol_a3_per_cell=211 energy_ev_per_atom=-1.64 delta_e_f_kj_per_mol_atoms=61.5 pbc="T T T"
Sr 0.000 0.000 0.000
La 2.974 2.974 2.974
Mg 0.000 2.974 2.974
Mg 2.974 0.000 2.974
Mg 2.974 2.974 0.000


Record 18
6
Lattice="2.289 1.321 8.362 -2.289 1.321 8.362 0.000 -2.643 8.362" Properties=species:S:1:pos:R:3 comment="HoTlZn | Alexandria via LeMat-Bulk | PBE | optimized geometry" vol_a3_per_cell=152 energy_ev_per_atom=-2.94 delta_e_f_kj_per_mol_atoms=-19.6 pbc="T T T"
Ho 0.000 0.000 1.668
Ho 0.000 0.000 23.418
Tl 0.000 0.000 4.939
Tl 0.000 0.000 20.147
Zn 0.000 0.000 8.236
Zn 0.000 0.000 16.849


Record 19
9
Lattice="4.345 -1.979 0.000 4.345 1.979 0.000 -2.468 0.000 7.946" Properties=species:S:1:pos:R:3 comment="Ni2SnPt6 | Alexandria via LeMat-Bulk | PBE | optimized geometry" vol_a3_per_cell=137 energy_ev_per_atom=-5.95 delta_e_f_kj_per_mol_atoms=-18.2 pbc="T T T"
Ni 0.944 0.000 1.852
Ni 5.278 0.000 6.095
Sn 4.345 0.000 0.000
Pt -0.761 0.000 7.059
Pt 0.081 0.000 4.391
Pt 2.673 0.000 5.337
Pt 3.549 0.000 2.610
Pt 6.141 0.000 3.555
Pt 6.983 0.000 0.887


Record 20
8
Lattice="-4.720 4.720 2.343 4.720 -4.720 2.343 4.720 4.720 -2.343" Properties=species:S:1:pos:R:3 comment="AsOsBr2 | Alexandria via LeMat-Bulk | PBE | optimized geometry" polymorph_energy_mev_per_atom=311 vol_a3_per_cell=209 energy_ev_per_atom=-4.41 formation_energy_uncorrected_ev_per_atom=0.4006 pbc="T T T"
As 0.000 0.000 0.000
As 0.000 4.720 1.172
Os 4.720 0.000 1.172
Os 0.000 0.000 2.343
Br 2.360 -0.994 1.757
Br 3.727 2.360 0.586
Br 2.360 5.714 -0.586
Br 0.994 2.360 2.929